--- w ---
Crystalline ScCu2Mo at its relaxed geometry. Source: Alexandria via LeMat-Bulk, functional GGA-PBE.

Lattice parameters (Å, degrees): 4.3937 2.9726 4.6500 88.67 90.00 90.00
Fractional coordinates of all 4 atoms:
1 Cu 0.0000 0.1294 0.9444
2 Cu 0.5000 0.1299 0.3126
3 Mo 0.0000 0.5997 0.4158
4 Sc 0.5000 0.6410 0.8272

Summary:
Volume ... 15.2 Å³ per atom
Symmetry ... Pm (6)

--- x ---
Crystalline ScCu2Mo at its relaxed geometry. Source: Alexandria via LeMat-Bulk, functional GGA-PBE.

Lattice parameters (Å, degrees): 4.9075 4.9075 4.8809 80.78 80.78 32.48
Fractional coordinates of all 4 atoms:
1 Cu 0.9941 0.9941 0.0253
2 Cu 0.5059 0.5059 0.4747
3 Mo 0.2500 0.2500 0.2500
4 Sc 0.7500 0.7500 0.7500

Summary:
Volume ... 15.6 Å³ per atom
Symmetry ... C2/m (12)

It is w that is most stable; the runner-up trails by 133 meV per atom.

--- w ---
Crystalline ScCu2Mo at its relaxed geometry. Source: Alexandria via LeMat-Bulk, functional GGA-PBE.

Lattice parameters (Å, degrees): 3.7459 3.7459 9.8092 78.99 78.99 90.00
Fractional coordinates of all 8 atoms:
1 Sc 0.5000 0.5000 0.0000
2 Sc 0.2500 0.7500 0.5000
3 Mo 0.0000 0.0000 0.0000
4 Mo 0.7500 0.2500 0.5000
5 Cu 0.6416 0.1250 0.2500
6 Cu 0.1084 0.6250 0.2500
7 Cu 0.3750 0.3584 0.7500
8 Cu 0.8750 0.8916 0.7500

Summary:
Volume ... 16.6 Å³ per atom
Symmetry ... I-42d (122)

--- x ---
Crystalline ScCu2Mo at its relaxed geometry. Source: Alexandria via LeMat-Bulk, functional GGA-PBE.

Lattice parameters (Å, degrees): 9.0573 9.0573 9.0573 18.09 18.09 18.09
Fractional coordinates of all 4 atoms:
1 Cu 0.9939 0.9939 0.9939
2 Cu 0.2535 0.2535 0.2535
3 Mo 0.5062 0.5062 0.5062
4 Sc 0.7464 0.7464 0.7464

Summary:
Volume ... 15.6 Å³ per atom
Symmetry ... R3m (160)

It is x that is most stable; the runner-up trails by 319 meV per atom.

--- w ---
Crystalline ScCu2Mo at its relaxed geometry. Source: Alexandria via LeMat-Bulk, functional GGA-PBE.

Lattice parameters (Å, degrees): 3.0607 3.3027 6.0822 90.00 90.00 90.00
Fractional coordinates of all 4 atoms:
1 Cu 0.0000 0.0000 0.0307
2 Cu 0.5000 0.5000 0.2370
3 Mo 0.0000 0.0000 0.4665
4 Sc 0.5000 0.5000 0.7658

Summary:
Volume ... 15.4 Å³ per atom
Symmetry ... Pmm2 (25)

--- x ---
Crystalline ScCu2Mo at its relaxed geometry. Source: Alexandria via LeMat-Bulk, functional GGA-PBE.

Lattice parameters (Å, degrees): 2.8053 2.8053 7.7149 90.00 90.00 89.95
Fractional coordinates of all 4 atoms:
1 Cu 0.0000 0.0000 0.0096
2 Cu 0.0000 0.0000 0.4904
3 Mo 0.5000 0.5000 0.2500
4 Sc 0.5000 0.5000 0.7500

Summary:
Volume ... 15.2 Å³ per atom
Symmetry ... P4/mmm (123)

It is w that is most stable; the runner-up trails by 7 meV per atom.

--- w ---
Crystalline ScCu2Mo2 at its relaxed geometry. Source: Alexandria via LeMat-Bulk, functional GGA-PBE.

Lattice parameters (Å, degrees): 6.7243 6.7243 3.4420 90.00 90.00 90.00
Fractional coordinates of all 10 atoms:
1 Sc 0.0000 0.0000 0.0000
2 Sc 0.5000 0.5000 0.0000
3 Mo 0.1638 0.6638 0.5000
4 Mo 0.6638 0.8362 0.5000
5 Mo 0.8362 0.3362 0.5000
6 Mo 0.3362 0.1638 0.5000
7 Cu 0.3717 0.8717 0.0000
8 Cu 0.8717 0.6283 0.0000
9 Cu 0.6283 0.1283 0.0000
10 Cu 0.1283 0.3717 0.0000

Summary:
Volume ... 15.6 Å³ per atom
Symmetry ... P4/mbm (127)

--- x ---
Crystalline ScCu2Mo2 at its relaxed geometry. Source: Alexandria via LeMat-Bulk, functional GGA-PBE.

Lattice parameters (Å, degrees): 3.6340 3.6340 6.7440 74.37 74.37 90.00
Fractional coordinates of all 5 atoms:
1 Sc 0.0000 0.0000 0.0000
2 Mo 0.7500 0.2500 0.5000
3 Mo 0.2500 0.7500 0.5000
4 Cu 0.4064 0.4064 0.1871
5 Cu 0.5936 0.5936 0.8129

Summary:
Volume ... 16.5 Å³ per atom
Symmetry ... I4/mmm (139)

It is x that is most stable; the runner-up trails by 173 meV per atom.